No. 1
Material: NaH2S
Method: DFT, PBE-GGA
State: relaxed

As for the polymorph energy (0 for the lowest one): 0.0000 eV/atom. For the total energy, the calculation gives -0.1123 Ha/atom.

It has space group Ama2 (No. 40), with a = 5.7879 Å, b = 12.1221 Å, c = 4.1334 Å, α = 90.00°, β = 90.00° and γ = 90.00°. The asymmetric unit holds Na at (0.2500, 0.1192, 0.0000), H at (0.2500, 0.2172, 0.4956), H at (0.2500, 0.3629, 0.1629) and S at (0.2500, 0.3728, 0.4882).

---

No. 2
Material: ZnMo2H
Method: DFT, PBE-GGA
State: relaxed

As for the polymorph energy (0 for the lowest one): 0.7103 eV/atom. For the total energy, the calculation gives -0.2098 Ha/atom.

It has space group Fm-3m (No. 225), with a = 5.9062 Å, b = 5.9062 Å, c = 5.9062 Å, α = 90.00°, β = 90.00° and γ = 90.00°. The asymmetric unit holds Zn at (0.0000, 0.0000, 0.0000), Mo at (0.2500, 0.2500, 0.2500) and H at (0.0000, 0.0000, 0.5000).

---

> The highest polymorph energy (0 for the lowest one) belongs to which entry?

ZnMo2H

---

> The lowest polymorph energy (0 for the lowest one) belongs to which entry?

NaH2S

---

> Which of these has the lowest polymorph energy (0 for the lowest one)?

NaH2S

---

> What is the polymorph energy (0 for the lowest one) in the second record?

0.7103 eV/atom